# 1
VASP calculation (PBE-GGA) on a relaxed structure of Te2PdSe2I2.

extended XYZ file:
```
7
Lattice="4.2045 0.0000 0.0000 2.1023 8.5051 0.2472 2.1023 2.3243 6.0198" Properties=species:S:1:pos:R:3 pbc="T T T"
Te 2.1023 4.4421 1.9921
Te 6.3068 6.3873 4.2749
Pd 0.0000 0.0000 0.0000
Se 4.2045 8.2656 5.9625
Se 4.2045 2.5638 0.3045
I 4.2045 2.4636 4.1564
I 4.2045 8.3658 2.1106
```

Properties
Calculated volume (Å³ per atom): 30.41
Symmetry: C2/m (12)
E_form (uncorrected) (meV per atom): -9
M_tot (μB per cell): 0.00



# 2
VASP calculation (PBE-GGA) on a relaxed structure of ZnPdSe2I.

extended XYZ file:
```
5
Lattice="-2.2747 -3.4749 -2.7035 3.5307 0.9326 -4.1694 3.0689 -3.4333 1.8308" Properties=species:S:1:pos:R:3 pbc="T T T"
I 1.7653 0.4663 -2.0847
Zn 2.1624 -2.9878 -2.5210
Se 1.5345 -1.7167 0.9154
Se -1.1373 -1.7374 -1.3517
Pd 0.0000 0.0000 0.0000
```

Properties
Calculated volume (Å³ per atom): 27.22
Symmetry: P4/mmm (123)
E_form (uncorrected) (meV per atom): 388
M_tot (μB per cell): 0.00



# 3
VASP calculation (PBE-GGA) on a relaxed structure of ZnPdSeI2.

extended XYZ file:
```
5
Lattice="5.6509 0.0000 0.0000 0.0000 4.8433 0.0000 0.0000 0.0000 5.6509" Properties=species:S:1:pos:R:3 pbc="T T T"
I 0.0000 0.0000 2.8255
I 2.8255 0.0000 0.0000
Zn 2.8255 2.4216 2.8255
Se 0.0000 2.4216 0.0000
Pd 0.0000 0.0000 0.0000
```

Properties
Calculated volume (Å³ per atom): 30.93
Symmetry: P4/mmm (123)
E_form (uncorrected) (meV per atom): 266
M_tot (μB per cell): 1.48